No. 1
Compound: Ni2Br
Source: Alexandria
Functional: PBE-GGA
Structure: optimized geometry Values from VASP.

Quantum ESPRESSO input file:
```
&SYSTEM
  ibrav = 0, nat = 3, ntyp = 2
/
ATOMIC_SPECIES
Ni 58.69 Ni.upf
Br 79.90 Br.upf
ATOMIC_POSITIONS angstrom
Ni 0.035 0.629 1.375
Ni 0.148 2.676 5.844
Br 0.091 1.653 3.609
CELL_PARAMETERS angstrom
-0.177 3.770 2.647
0.360 -0.464 4.572
2.233 -1.431 -3.770
```

Summary:
- Polymorph energy (0 for the lowest one): 0.539 eV per atom
- Uncorrected formation energy: 0.56 eV per atom
- Electronic total energy: -11.6 eV for the cell shown
- SG: I4/mmm (139)

=====

No. 2
Compound: NiBr5
Source: Alexandria
Functional: PBE-GGA
Structure: optimized geometry Values from VASP.

Quantum ESPRESSO input file:
```
&SYSTEM
  ibrav = 0, nat = 6, ntyp = 2
/
ATOMIC_SPECIES
Br 79.90 Br.upf
Ni 58.69 Ni.upf
ATOMIC_POSITIONS angstrom
Br 2.557 -1.476 4.035
Br 1.737 3.009 0.000
Br 1.737 -3.009 0.000
Br 1.639 0.000 0.000
Br 2.557 1.476 4.035
Ni 0.000 0.000 4.035
CELL_PARAMETERS angstrom
2.557 -4.429 0.000
2.557 4.429 0.000
0.000 0.000 8.070
```

Summary:
- Polymorph energy (0 for the lowest one): 0.554 eV per atom
- Uncorrected formation energy: 0.56 eV per atom
- Electronic total energy: -10.8 eV for the cell shown
- SG: P-62m (189)

=====

No. 3
Compound: NiBr4
Source: Alexandria
Functional: PBE-GGA
Structure: optimized geometry Values from VASP.

Quantum ESPRESSO input file:
```
&SYSTEM
  ibrav = 0, nat = 5, ntyp = 2
/
ATOMIC_SPECIES
Br 79.90 Br.upf
Ni 58.69 Ni.upf
ATOMIC_POSITIONS angstrom
Br 1.579 1.579 -1.579
Br -1.579 1.579 1.579
Br 1.579 1.579 1.579
Br 1.579 -1.579 1.579
Ni 0.000 0.000 0.000
CELL_PARAMETERS angstrom
-3.157 3.157 3.157
3.157 -3.157 3.157
3.157 3.157 -3.157
```

Summary:
- Uncorrected formation energy: 0.33 eV per atom
- Electronic total energy: -10.8 eV for the cell shown
- SG: Im-3m (229)

=====

No. 4
Compound: Ni2Br
Source: Alexandria
Functional: PBE-GGA
Structure: optimized geometry Values from VASP.

Quantum ESPRESSO input file:
```
&SYSTEM
  ibrav = 0, nat = 6, ntyp = 2
/
ATOMIC_SPECIES
Ni 58.69 Ni.upf
Br 79.90 Br.upf
ATOMIC_POSITIONS angstrom
Ni -2.221 0.955 1.092
Ni -2.206 0.478 -1.682
Ni -4.574 -0.573 0.865
Ni 0.000 0.000 0.000
Br -2.353 -1.528 -0.227
Br -4.427 1.433 -0.590
CELL_PARAMETERS angstrom
-0.948 2.006 -3.684
-1.390 -4.012 0.683
-4.442 1.911 2.184
```

Summary:
- Polymorph energy (0 for the lowest one): 0.640 eV per atom
- Uncorrected formation energy: 0.66 eV per atom
- Electronic total energy: -22.5 eV for the cell shown
- SG: P6_3/mmc (194)

=====

No. 5
Compound: Ni2Br
Source: Alexandria
Functional: PBE-GGA
Structure: optimized geometry Values from VASP.

Quantum ESPRESSO input file:
```
&SYSTEM
  ibrav = 0, nat = 6, ntyp = 2
/
ATOMIC_SPECIES
Br 79.90 Br.upf
Ni 58.69 Ni.upf
ATOMIC_POSITIONS angstrom
Br 0.000 0.000 2.144
Br 0.000 0.000 6.433
Ni 1.747 1.009 4.971
Ni 1.747 -1.009 0.682
Ni 1.747 1.009 7.895
Ni 1.747 -1.009 3.607
CELL_PARAMETERS angstrom
1.747 -3.026 0.000
1.747 3.026 0.000
0.000 0.000 8.577
```

Summary:
- Polymorph energy (0 for the lowest one): 0.414 eV per atom
- Uncorrected formation energy: 0.44 eV per atom
- Electronic total energy: -23.9 eV for the cell shown
- SG: P6_3/mmc (194)

=====

No. 6
Compound: NiBr4
Source: Alexandria
Functional: PBE-GGA
Structure: optimized geometry Values from VASP.

Quantum ESPRESSO input file:
```
&SYSTEM
  ibrav = 0, nat = 5, ntyp = 2
/
ATOMIC_SPECIES
Br 79.90 Br.upf
Ni 58.69 Ni.upf
ATOMIC_POSITIONS angstrom
Br -3.352 -2.940 -3.524
Br -5.034 -4.062 -0.822
Br 0.685 -1.419 -2.271
Br -0.997 -2.541 0.432
Ni 0.000 0.000 0.000
CELL_PARAMETERS angstrom
3.621 0.561 -6.715
-1.891 -2.740 6.887
-6.079 -3.302 -3.265
```

Summary:
- Uncorrected formation energy: 0.20 eV per atom
- Electronic total energy: -11.5 eV for the cell shown
- SG: I4/m (87)

=====

No. 7
Compound: Ni4Br
Source: Alexandria
Functional: PBE-GGA
Structure: optimized geometry Values from VASP.

Quantum ESPRESSO input file:
```
&SYSTEM
  ibrav = 0, nat = 5, ntyp = 2
/
ATOMIC_SPECIES
Ni 58.69 Ni.upf
Br 79.90 Br.upf
ATOMIC_POSITIONS angstrom
Ni 0.000 0.000 0.000
Ni 2.150 2.150 0.000
Ni 0.000 2.150 2.150
Ni 2.150 0.000 2.150
Br 2.150 2.150 2.150
CELL_PARAMETERS angstrom
4.299 0.000 0.000
0.000 4.299 0.000
0.000 0.000 4.299
```

Summary:
- Polymorph energy (0 for the lowest one): 0.592 eV per atom
- Uncorrected formation energy: 1.08 eV per atom
- Electronic total energy: -19.4 eV for the cell shown
- SG: Pm-3m (221)

=====

No. 8
Compound: Ni2Br
Source: Alexandria
Functional: PBE-GGA
Structure: optimized geometry Values from VASP.

Quantum ESPRESSO input file:
```
&SYSTEM
  ibrav = 0, nat = 3, ntyp = 2
/
ATOMIC_SPECIES
Ni 58.69 Ni.upf
Br 79.90 Br.upf
ATOMIC_POSITIONS angstrom
Ni 0.000 1.901 3.178
Ni 1.647 0.951 1.731
Br 0.000 0.000 0.000
CELL_PARAMETERS angstrom
3.293 0.000 0.000
-1.647 2.852 0.000
0.000 0.000 4.909
```

Summary:
- Polymorph energy (0 for the lowest one): 0.439 eV per atom
- Uncorrected formation energy: 0.46 eV per atom
- Electronic total energy: -11.9 eV for the cell shown
- SG: P-3m1 (164)

=====

No. 9
Compound: Ni4Br5
Source: Alexandria
Functional: PBE-GGA
Structure: optimized geometry Values from VASP.

Quantum ESPRESSO input file:
```
&SYSTEM
  ibrav = 0, nat = 18, ntyp = 2
/
ATOMIC_SPECIES
Ni 58.69 Ni.upf
Br 79.90 Br.upf
ATOMIC_POSITIONS angstrom
Ni -1.282 -0.203 3.795
Ni -0.222 -3.189 1.336
Ni 0.000 0.000 0.000
Ni -3.875 -4.305 2.557
Ni -3.105 -5.851 -1.004
Ni -2.483 -2.508 -1.906
Ni -4.251 -1.036 1.315
Ni -1.701 -3.157 5.659
Br -0.937 -4.065 3.619
Br -1.940 -1.348 0.954
Br -4.497 -3.504 -0.125
Br -4.030 -3.104 -3.585
Br -3.629 -1.837 3.997
Br -3.407 1.352 2.660
Br -4.276 -0.315 -1.461
Br -1.557 -5.255 0.675
Br -6.186 -3.993 2.918
Br -2.045 0.705 5.835
CELL_PARAMETERS angstrom
-2.539 3.018 6.781
-5.144 -1.981 -5.582
-0.444 -6.378 2.672
```

Summary:
- Polymorph energy (0 for the lowest one): 0.000 eV per atom
- Uncorrected formation energy: 0.28 eV per atom
- Electronic total energy: -58.0 eV for the cell shown
- SG: P6_3/mcm (193)

=====

No. 10
Compound: Ni4Br5
Source: Alexandria
Functional: PBE-GGA
Structure: optimized geometry Values from VASP.

Quantum ESPRESSO input file:
```
&SYSTEM
  ibrav = 0, nat = 9, ntyp = 2
/
ATOMIC_SPECIES
Ni 58.69 Ni.upf
Br 79.90 Br.upf
ATOMIC_POSITIONS angstrom
Ni 0.000 6.414 0.000
Ni 0.000 4.040 0.000
Ni 6.414 0.000 0.000
Ni 4.040 0.000 0.000
Br -1.757 1.757 1.760
Br 1.757 -1.757 1.760
Br 0.000 0.000 0.000
Br 1.757 1.757 1.760
Br 3.470 3.470 0.000
CELL_PARAMETERS angstrom
-5.227 5.227 1.760
5.227 -5.227 1.760
5.227 5.227 -1.760
```

Summary:
- Polymorph energy (0 for the lowest one): 0.465 eV per atom
- Uncorrected formation energy: 0.74 eV per atom
- Electronic total energy: -24.8 eV for the cell shown
- SG: I4/mmm (139)

=====

No. 11
Compound: NiBr4
Source: Alexandria
Functional: PBE-GGA
Structure: optimized geometry Values from VASP.

Quantum ESPRESSO input file:
```
&SYSTEM
  ibrav = 0, nat = 5, ntyp = 2
/
ATOMIC_SPECIES
Br 79.90 Br.upf
Ni 58.69 Ni.upf
ATOMIC_POSITIONS angstrom
Br 2.474 0.000 2.474
Br 0.000 0.000 0.000
Br 2.474 2.474 0.000
Br 0.000 2.474 2.474
Ni 2.474 2.474 2.474
CELL_PARAMETERS angstrom
4.947 0.000 0.000
0.000 4.947 0.000
0.000 0.000 4.947
```

Summary:
- Uncorrected formation energy: 0.17 eV per atom
- Electronic total energy: -11.6 eV for the cell shown
- SG: Pm-3m (221)

=====

No. 12
Compound: Ni7Br6
Source: Alexandria
Functional: PBE-GGA
Structure: optimized geometry Values from VASP.

Quantum ESPRESSO input file:
```
&SYSTEM
  ibrav = 0, nat = 13, ntyp = 2
/
ATOMIC_SPECIES
Ni 58.69 Ni.upf
Br 79.90 Br.upf
ATOMIC_POSITIONS angstrom
Ni 17.770 3.603 2.185
Ni 13.421 2.404 2.918
Ni 15.264 4.207 2.552
Ni 17.107 6.009 2.185
Ni 12.758 4.811 2.918
Ni 13.421 3.699 0.784
Ni 17.107 4.715 4.320
Br 5.754 1.586 0.962
Br 27.908 7.691 4.666
Br 19.158 5.280 3.203
Br 2.620 0.722 0.438
Br 11.369 3.133 1.901
Br 24.773 6.828 4.142
CELL_PARAMETERS angstrom
11.159 0.196 0.119
9.684 5.548 0.119
9.684 2.669 4.866
```

Summary:
- Uncorrected formation energy: 0.17 eV per atom
- Electronic total energy: -48.4 eV for the cell shown
- SG: R-3m (166)